Here is Mg2TlHg after structural relaxation from Alexandria. Energies are from PBE-GGA.

Cell lengths 3.760, 4.065, 6.297 Å; angles 90.00, 90.00, 90.00 degrees
Sites, in units of the cell vectors:
Tl (0.000, 0.000, 0.484)
Mg (0.000, 0.000, 0.977)
Mg (0.500, 0.500, 0.255)
Hg (0.500, 0.500, 0.785)

## Properties
- calculated formation energy (eV/f.u.) = -0.27
- space-group type = No. 25
- M_tot (μB per cell) = 0.0
- final energy (eV per atom) = -1.5325